Record 1
DFT (PBE) results for crystalline SrSe2SBr at its relaxed geometry.

```
5
Lattice="4.975 0.000 0.000 0.000 4.975 0.000 0.000 0.000 5.314" Properties=species:S:1:pos:R:3 pbc="T T T"
Sr 2.488 2.488 2.657
S 0.000 0.000 0.000
Se 0.000 2.488 0.000
Se 2.488 0.000 0.000
Br 0.000 0.000 2.657
```

**ΔE_f (raw)**: -613 meV/atom
**Energy above the lowest structure with this stoichiometry**: 0.00 eV/f.u.



Record 2
DFT (PBE) results for crystalline SrSeSBr2 at its relaxed geometry.

```
5
Lattice="5.237 0.000 0.000 0.000 5.237 0.000 0.000 0.000 5.104" Properties=species:S:1:pos:R:3 pbc="T T T"
Sr 2.618 2.618 2.552
S 0.000 0.000 0.000
Se 0.000 0.000 2.552
Br 0.000 2.618 0.000
Br 2.618 0.000 0.000
```

**ΔE_f (raw)**: -658 meV/atom
**Energy above the lowest structure with this stoichiometry**: 0.00 eV/f.u.



Record 3
DFT (PBE) results for crystalline Sr4SeS2Br at its relaxed geometry.

```
8
Lattice="4.348 0.000 0.000 0.000 7.589 -0.180 0.000 2.639 7.035" Properties=species:S:1:pos:R:3 pbc="T T T"
Sr 0.000 7.804 5.022
Sr 4.348 2.424 1.832
Sr 2.174 6.481 1.640
Sr 2.174 3.747 5.215
Se 0.000 5.114 3.427
S 0.000 2.639 7.035
S 2.174 1.320 3.517
Br 2.174 6.434 6.945
```

**ΔE_f (raw)**: -1953 meV/atom



Record 4
DFT (PBE) results for crystalline SrSe2SBr at its relaxed geometry.

```
5
Lattice="-1.248 1.668 5.768 -5.919 -1.335 -0.895 0.969 -5.503 1.802" Properties=species:S:1:pos:R:3 pbc="T T T"
Sr 0.000 0.000 0.000
S -3.099 -2.585 3.337
Se -2.959 -0.667 -0.447
Se -0.624 0.834 2.884
Br 0.484 -2.752 0.901
```

**ΔE_f (raw)**: 214 meV/atom
**Energy above the lowest structure with this stoichiometry**: 4.13 eV/f.u.



Record 5
DFT (PBE) results for crystalline SrSeSBr2 at its relaxed geometry.

```
5
Lattice="5.931 0.000 0.000 0.000 5.931 0.000 0.000 0.000 6.283" Properties=species:S:1:pos:R:3 pbc="T T T"
Sr 0.000 0.000 0.000
S 2.965 2.965 3.142
Se 0.000 0.000 3.142
Br 0.000 2.965 0.000
Br 2.965 0.000 0.000
```

**ΔE_f (raw)**: -168 meV/atom
**Energy above the lowest structure with this stoichiometry**: 2.45 eV/f.u.



Record 6
DFT (PBE) results for crystalline TaSe2SBr at its relaxed geometry.

```
5
Lattice="5.012 0.000 0.000 0.000 5.012 0.000 0.000 0.000 5.197" Properties=species:S:1:pos:R:3 pbc="T T T"
S 2.506 2.506 2.599
Se 0.000 2.506 0.000
Se 2.506 0.000 0.000
Br 0.000 0.000 2.599
Ta 0.000 0.000 0.000
```

**ΔE_f (raw)**: 231 meV/atom
**Energy above the lowest structure with this stoichiometry**: 0.00 eV/f.u.



Record 7
DFT (PBE) results for crystalline TaSe2SBr at its relaxed geometry.

```
5
Lattice="4.791 0.000 0.000 0.000 4.791 0.000 0.000 0.000 4.965" Properties=species:S:1:pos:R:3 pbc="T T T"
S 0.000 0.000 0.000
Se 0.000 2.396 0.000
Se 2.396 0.000 0.000
Br 0.000 0.000 2.483
Ta 2.396 2.396 2.483
```

**ΔE_f (raw)**: 1030 meV/atom
**Energy above the lowest structure with this stoichiometry**: 4.00 eV/f.u.



Record 8
DFT (PBE) results for crystalline TcSeSBr2 at its relaxed geometry.

```
5
Lattice="-0.564 4.837 -1.452 -4.510 -1.140 -2.046 -2.242 1.046 4.357" Properties=species:S:1:pos:R:3 pbc="T T T"
S 0.000 0.000 0.000
Se -1.121 0.523 2.179
Tc -3.658 2.372 0.430
Br -2.255 -0.570 -1.023
Br -0.282 2.419 -0.726
```

**ΔE_f (raw)**: 998 meV/atom
**Energy above the lowest structure with this stoichiometry**: 2.05 eV/f.u.



Record 9
DFT (PBE) results for crystalline TcSeSBr2 at its relaxed geometry.

```
5
Lattice="5.016 0.000 0.000 0.000 5.016 0.000 0.000 0.000 4.809" Properties=species:S:1:pos:R:3 pbc="T T T"
S 2.508 2.508 2.404
Se 0.000 0.000 2.404
Tc 0.000 0.000 0.000
Br 0.000 2.508 0.000
Br 2.508 0.000 0.000
```

**ΔE_f (raw)**: 588 meV/atom
**Energy above the lowest structure with this stoichiometry**: 0.00 eV/f.u.



Record 10
DFT (PBE) results for crystalline TiSeS2Br at its relaxed geometry.

```
5
Lattice="4.873 0.000 0.000 0.000 5.062 0.000 0.000 0.000 4.873" Properties=species:S:1:pos:R:3 pbc="T T T"
S 0.000 0.000 2.436
S 2.436 0.000 0.000
Se 0.000 0.000 0.000
Br 0.000 2.531 0.000
Ti 2.436 2.531 2.436
```

**ΔE_f (raw)**: 517 meV/atom



Record 11
DFT (PBE) results for crystalline TlSe2SBr at its relaxed geometry.

```
5
Lattice="5.522 0.000 0.000 0.000 5.522 0.000 0.000 0.000 5.675" Properties=species:S:1:pos:R:3 pbc="T T T"
S 2.761 2.761 2.838
Tl 0.000 0.000 0.000
Se 0.000 2.761 0.000
Se 2.761 0.000 0.000
Br 0.000 0.000 2.838
```

**ΔE_f (raw)**: 838 meV/atom
**Energy above the lowest structure with this stoichiometry**: 3.56 eV/f.u.



Record 12
DFT (PBE) results for crystalline Tl6SeSBr2 at its relaxed geometry.

```
20
Lattice="6.022 0.000 -0.153 0.000 8.594 0.000 -0.125 0.000 13.025" Properties=species:S:1:pos:R:3 pbc="T T T"
Tl 2.465 5.584 0.953
Tl 5.414 7.307 7.389
Tl 3.432 3.010 11.919
Tl 0.484 1.287 5.483
Tl 2.505 5.775 5.541
Tl 5.454 7.116 11.976
Tl 3.392 2.819 7.331
Tl 0.443 1.478 0.895
Tl 5.302 4.381 3.178
Tl 2.229 8.510 9.767
Tl 0.595 4.213 9.694
Tl 3.669 0.084 3.105
Se 3.011 0.000 -0.076
Se -0.062 4.297 6.512
S 2.949 0.000 6.436
S 0.000 4.297 0.000
Br 0.727 7.196 3.161
Br 3.675 5.694 9.597
Br 5.171 1.397 9.711
Br 2.222 2.899 3.275
```

**ΔE_f (raw)**: -479 meV/atom



Record 13
DFT (PBE) results for crystalline TlSe2SBr at its relaxed geometry.

```
5
Lattice="-0.624 4.288 2.436 -4.930 -0.472 -0.431 -0.154 -2.695 4.706" Properties=species:S:1:pos:R:3 pbc="T T T"
S 0.000 0.000 0.000
Tl -2.854 0.560 3.355
Se -2.465 -0.236 -0.216
Se -0.312 2.144 1.218
Br -0.077 -1.348 2.353
```

**ΔE_f (raw)**: 126 meV/atom
**Energy above the lowest structure with this stoichiometry**: 0.00 eV/f.u.



Record 14
DFT (PBE) results for crystalline VSeSBr2 at its relaxed geometry.

```
5
Lattice="-2.985 -1.658 3.626 -0.871 -4.149 -2.614 3.759 -2.126 2.122" Properties=species:S:1:pos:R:3 pbc="T T T"
S -0.049 -3.967 1.567
Se 1.879 -1.063 1.061
Br -0.435 -2.074 -1.307
Br -1.493 -0.829 1.813
V 0.000 0.000 0.000
```

**ΔE_f (raw)**: 259 meV/atom
**Energy above the lowest structure with this stoichiometry**: 0.00 eV/f.u.



Record 15
DFT (PBE) results for crystalline VSeSBr2 at its relaxed geometry.

```
5
Lattice="-0.885 4.015 2.908 -1.619 -3.026 3.685 4.730 -0.291 1.840" Properties=species:S:1:pos:R:3 pbc="T T T"
S 0.000 0.000 0.000
Se 2.365 -0.145 0.920
Br -0.810 -1.513 1.843
Br -0.442 2.008 1.454
V 1.113 0.349 4.217
```

**ΔE_f (raw)**: 658 meV/atom
**Energy above the lowest structure with this stoichiometry**: 2.00 eV/f.u.



Record 16
DFT (PBE) results for crystalline WSeSBr2 at its relaxed geometry.

```
5
Lattice="4.984 0.000 0.000 0.000 4.984 0.000 0.000 0.000 5.076" Properties=species:S:1:pos:R:3 pbc="T T T"
S 0.000 0.000 0.000
Se 0.000 0.000 2.538
Br 0.000 2.492 0.000
Br 2.492 0.000 0.000
W 2.492 2.492 2.538
```

**ΔE_f (raw)**: 1416 meV/atom
**Energy above the lowest structure with this stoichiometry**: 3.95 eV/f.u.



Record 17
DFT (PBE) results for crystalline WSeS2Br at its relaxed geometry.

```
5
Lattice="4.773 0.000 0.000 0.000 5.089 0.000 0.000 0.000 4.773" Properties=species:S:1:pos:R:3 pbc="T T T"
S 0.000 0.000 2.386
S 2.386 0.000 0.000
Se 0.000 2.545 0.000
Br 0.000 0.000 0.000
W 2.386 2.545 2.386
```

**ΔE_f (raw)**: 1808 meV/atom



Record 18
DFT (PBE) results for crystalline WSeSBr2 at its relaxed geometry.

```
5
Lattice="5.008 0.000 0.000 0.000 5.008 0.000 0.000 0.000 4.904" Properties=species:S:1:pos:R:3 pbc="T T T"
S 2.504 2.504 2.452
Se 0.000 0.000 2.452
Br 0.000 2.504 0.000
Br 2.504 0.000 0.000
W 0.000 0.000 0.000
```

**ΔE_f (raw)**: 627 meV/atom
**Energy above the lowest structure with this stoichiometry**: 0.00 eV/f.u.



Record 19
DFT (PBE) results for crystalline WSe2SBr at its relaxed geometry.

```
5
Lattice="-0.541 0.999 4.767 -4.652 -1.526 -0.209 1.471 -4.641 1.140" Properties=species:S:1:pos:R:3 pbc="T T T"
S -1.861 -2.584 2.849
Se -2.326 -0.763 -0.104
Se -0.271 0.500 2.383
Br 0.735 -2.321 0.570
W 0.000 0.000 0.000
```

**ΔE_f (raw)**: 588 meV/atom
**Energy above the lowest structure with this stoichiometry**: 0.00 eV/f.u.



Record 20
DFT (PBE) results for crystalline WSe2SBr at its relaxed geometry.

```
5
Lattice="4.943 0.000 0.000 0.000 4.943 0.000 0.000 0.000 4.769" Properties=species:S:1:pos:R:3 pbc="T T T"
S 0.000 0.000 0.000
Se 0.000 2.472 0.000
Se 2.472 0.000 0.000
Br 0.000 0.000 2.385
W 2.472 2.472 2.385
```

**ΔE_f (raw)**: 1360 meV/atom
**Energy above the lowest structure with this stoichiometry**: 3.86 eV/f.u.